{"formula": "Sc2TiCr", "functional": "GGA-PBE", "state": "optimized geometry", "ef_mev_per_atom": 606, "n_ef_per_ev_atom": 1.30, "lattice": [[1.7066, 0.0000, 9.8724], [-0.8533, 1.4780, 9.8724], [-0.8533, -1.4780, 9.8724]], "species": ["Sc", "Sc", "Cr", "Ti"], "fractional_positions": [[0.9168, 0.9168, 0.9168], [0.0832, 0.0832, 0.0832], [0.0000, 0.0000, 0.0000], [0.5000, 0.5000, 0.5000]]}

***

{"formula": "Li3NdI6", "functional": "GGA-PBE", "state": "optimized geometry", "formation_energy_uncorrected_ev_per_atom": -1.21, "n_ef_per_ev_atom": 0.00, "lattice": [[7.6596, 0.1666, 3.8782], [2.6676, 7.2256, 4.0271], [0.4648, 0.1402, 8.6795]], "species": ["Li", "Li", "Li", "Nd", "I", "I", "I", "I", "I", "I"], "fractional_positions": [[0.5000, 0.5000, 0.0000], [0.5000, 0.0000, 0.5000], [0.5000, 0.5000, 0.5000], [0.0000, 0.0000, 0.0000], [0.7223, 0.7706, 0.2733], [0.2777, 0.2294, 0.7267], [0.7261, 0.2771, 0.7669], [0.2739, 0.7229, 0.2331], [0.2568, 0.7450, 0.7449], [0.7432, 0.2550, 0.2551]]}

***

{"formula": "K2LiSmCl6", "functional": "GGA-PBE", "state": "optimized geometry", "formation_energy_uncorrected_ev_per_atom": -2.05, "n_ef_per_ev_atom": 0.00, "lattice": [[-7.3519, -1.0207, 0.0317], [-2.9036, -6.1654, -2.9412], [-3.0124, -5.1537, 4.4112]], "species": ["K", "K", "Li", "Sm", "Cl", "Cl", "Cl", "Cl", "Cl", "Cl"], "fractional_positions": [[0.7500, 0.7500, 0.7500], [0.2500, 0.2500, 0.2500], [0.5000, 0.5000, 0.5000], [0.0000, 0.0000, 0.0000], [0.7443, 0.2557, 0.2557], [0.2557, 0.2557, 0.7443], [0.2557, 0.7443, 0.7443], [0.2557, 0.7443, 0.2557], [0.7443, 0.2557, 0.7443], [0.7443, 0.7443, 0.2557]]}

***

{"formula": "NpAlFeOs", "functional": "GGA-PBE", "state": "optimized geometry", "ef_mev_per_atom": -79, "n_ef_per_ev_atom": 1.14, "lattice": [[4.4968, 0.0000, 0.0000], [2.2484, 3.8943, 0.0000], [2.2484, 1.2981, 3.6716]], "species": ["Np", "Os", "Fe", "Al"], "fractional_positions": [[0.0000, 0.0000, 0.0000], [0.2500, 0.2500, 0.2500], [0.7500, 0.7500, 0.7500], [0.5000, 0.5000, 0.5000]]}